First-principles (GGA+U) data for an optimized crystal structure of TlGa2MoO6, as listed in Alexandria via LeMat-Bulk.

Computed properties:
**M_tot**: 0.100 μB per atom
**Space group**: No. 15
**DFT total energy**: -120.4 eV/cell

a = 6.464 Å, b = 7.538 Å, c = 7.538 Å
α = 106.31°, β = 76.05°, γ = 76.05°
Element x y z (fractional)
O: 0.723 0.754 0.958
Ga: 0.341 0.695 0.555
O: 0.277 0.246 0.042
O: 0.450 0.427 0.338
O: 0.026 0.637 0.197
O: 0.474 0.803 0.363
Tl: 0.750 0.095 0.905
Ga: 0.659 0.305 0.445
O: 0.050 0.662 0.573
Tl: 0.250 0.905 0.095
Ga: 0.841 0.555 0.695
O: 0.974 0.363 0.803
Mo: 0.250 0.210 0.790
O: 0.777 0.042 0.246
O: 0.950 0.338 0.427
O: 0.526 0.197 0.637
Mo: 0.750 0.790 0.210
O: 0.223 0.958 0.754
Ga: 0.159 0.445 0.305
O: 0.550 0.573 0.662